# 1
Computed, not measured: an optimized crystal structure of La2Y3Si4 at the GGA-PBE level of DFT.

Cell lengths 7.579, 7.827, 7.882 Å; angles 90.00, 90.00, 106.86 degrees
Atoms (fractional coordinates):
La: 0.582 0.198 0.323
La: 0.918 0.802 0.823
La: 0.418 0.802 0.677
La: 0.082 0.198 0.177
Y: 0.000 0.500 0.500
Y: 0.500 0.500 0.000
Y: 0.754 0.246 0.820
Y: 0.746 0.754 0.320
Y: 0.246 0.754 0.180
Y: 0.254 0.246 0.680
Si: 0.880 0.078 0.531
Si: 0.620 0.922 0.031
Si: 0.120 0.922 0.469
Si: 0.380 0.078 0.969
Si: 0.876 0.495 0.118
Si: 0.624 0.505 0.618
Si: 0.124 0.505 0.882
Si: 0.376 0.495 0.382

Results
space group: P2_1/c, No. 14
total DFT energy (no corrections): -6.4421 eV/atom

---

# 2
Computed, not measured: an optimized crystal structure of LaY4Si at the GGA-PBE level of DFT.

Cell lengths 6.446, 6.446, 6.446 Å; angles 60.00, 60.00, 60.00 degrees
Atoms (fractional coordinates):
La: 0.750 0.750 0.750
Y: 0.875 0.375 0.375
Y: 0.375 0.375 0.875
Y: 0.375 0.875 0.375
Y: 0.375 0.375 0.375
Si: 0.000 0.000 0.000

Results
space group: F-43m, No. 216
total DFT energy (no corrections): -5.6047 eV/atom

---

# 3
Computed, not measured: an optimized crystal structure of La2YSi2 at the GGA-PBE level of DFT.

Cell lengths 8.029, 8.029, 4.222 Å; angles 90.00, 90.00, 90.00 degrees
Atoms (fractional coordinates):
Y: 0.000 0.000 0.000
Y: 0.500 0.500 0.000
Si: 0.339 0.839 0.000
Si: 0.839 0.661 0.000
Si: 0.661 0.161 0.000
Si: 0.161 0.339 0.000
La: 0.143 0.643 0.500
La: 0.643 0.857 0.500
La: 0.857 0.357 0.500
La: 0.357 0.143 0.500

Results
space group: P4/mbm, No. 127
total DFT energy (no corrections): -6.0684 eV/atom

---

# 4
Computed, not measured: an optimized crystal structure of LaY2Si2 at the GGA-PBE level of DFT.

Cell lengths 5.238, 5.238, 6.500 Å; angles 66.24, 66.24, 90.00 degrees
Atoms (fractional coordinates):
Y: 0.333 0.333 0.334
Y: 0.667 0.667 0.666
Si: 0.750 0.250 0.500
Si: 0.250 0.750 0.500
La: 0.000 0.000 0.000

Results
relative energy among the computed polymorphs: 0.338 eV/atom
space group: I4/mmm, No. 139
total DFT energy (no corrections): -5.9795 eV/atom

---

# 5
Computed, not measured: an optimized crystal structure of La3YSi at the GGA-PBE level of DFT.

Cell lengths 5.782, 5.782, 5.782 Å; angles 90.00, 90.00, 90.00 degrees
Atoms (fractional coordinates):
Y: 0.500 0.500 0.500
Si: 0.000 0.000 0.000
La: 0.000 0.500 0.000
La: 0.000 0.000 0.500
La: 0.500 0.000 0.000

Results
relative energy among the computed polymorphs: 0.000 eV/atom
space group: Pm-3m, No. 221
total DFT energy (no corrections): -5.3094 eV/atom

---

# 6
Computed, not measured: an optimized crystal structure of La2YZnSi at the GGA-PBE level of DFT.

Cell lengths 5.843, 5.237, 5.843 Å; angles 90.00, 90.00, 90.00 degrees
Atoms (fractional coordinates):
Y: 0.000 0.000 0.000
Zn: 0.500 0.500 0.500
Si: 0.000 0.500 0.000
La: 0.000 0.000 0.500
La: 0.500 0.000 0.000

Results
space group: P4/mmm, No. 123
total DFT energy (no corrections): -3.9115 eV/atom

---

# 7
Computed, not measured: an optimized crystal structure of LaYZnSi2 at the GGA-PBE level of DFT.

Cell lengths 5.352, 5.233, 5.352 Å; angles 90.00, 90.00, 90.00 degrees
Atoms (fractional coordinates):
Y: 0.500 0.500 0.500
Zn: 0.000 0.500 0.000
Si: 0.000 0.000 0.500
Si: 0.500 0.000 0.000
La: 0.000 0.000 0.000

Results
space group: P4/mmm, No. 123
total DFT energy (no corrections): -4.0052 eV/atom

---

# 8
Computed, not measured: an optimized crystal structure of LaZn2Si at the GGA-PBE level of DFT.

Cell lengths 3.464, 3.464, 6.775 Å; angles 90.00, 90.00, 89.96 degrees
Atoms (fractional coordinates):
La: 0.500 0.500 0.250
Si: 0.500 0.500 0.750
Zn: 0.000 0.000 0.942
Zn: 0.000 0.000 0.558

Results
space group: P4/mmm, No. 123
total DFT energy (no corrections): -3.3042 eV/atom

---

# 9
Computed, not measured: an optimized crystal structure of LaZn2Si at the GGA-PBE level of DFT.

Cell lengths 4.903, 4.903, 4.903 Å; angles 60.00, 60.00, 60.00 degrees
Atoms (fractional coordinates):
La: 0.500 0.500 0.500
Si: 0.750 0.750 0.750
Zn: 0.000 0.000 0.000
Zn: 0.250 0.250 0.250

Results
space group: F-43m, No. 216
total DFT energy (no corrections): -3.3777 eV/atom

---

# 10
Computed, not measured: an optimized crystal structure of La2ZnSi at the GGA-PBE level of DFT.

Cell lengths 8.059, 8.059, 6.814 Å; angles 53.75, 53.75, 90.00 degrees
Atoms (fractional coordinates):
Zn: 0.000 0.000 0.000
Zn: 0.750 0.250 0.500
Si: 0.500 0.500 0.000
Si: 0.250 0.750 0.500
La: 0.613 0.125 0.250
La: 0.137 0.625 0.250
La: 0.375 0.387 0.750
La: 0.875 0.863 0.750

Results
space group: I-42d, No. 122
total DFT energy (no corrections): -4.2651 eV/atom

---

# 11
Computed, not measured: an optimized crystal structure of La12ZnSi5 at the GGA-PBE level of DFT.

Cell lengths 8.877, 8.877, 8.877 Å; angles 107.77, 111.38, 109.28 degrees
Atoms (fractional coordinates):
La: 0.561 0.825 0.736
La: 0.439 0.175 0.264
La: 0.911 0.175 0.736
La: 0.089 0.825 0.264
La: 0.711 0.676 0.387
La: 0.289 0.324 0.613
La: 0.289 0.676 0.966
La: 0.711 0.324 0.034
La: 0.800 0.556 0.756
La: 0.200 0.444 0.244
La: 0.200 0.956 0.756
La: 0.800 0.044 0.244
Zn: 0.000 0.500 0.500
Si: 0.622 0.622 0.000
Si: 0.378 0.378 0.000
Si: 0.500 0.114 0.614
Si: 0.500 0.886 0.386
Si: 0.000 0.000 0.000

Results
space group: Immm, No. 71
total DFT energy (no corrections): -5.3059 eV/atom

---

# 12
Computed, not measured: an optimized crystal structure of LaZnSi2 at the GGA-PBE level of DFT.

Cell lengths 4.244, 4.391, 4.391 Å; angles 90.00, 90.00, 90.00 degrees
Atoms (fractional coordinates):
La: 0.500 0.000 0.500
Si: 0.000 0.000 0.000
Si: 0.000 0.500 0.500
Zn: 0.500 0.500 0.000

Results
space group: P4/mmm, No. 123
total DFT energy (no corrections): -4.4761 eV/atom

---

# 13
Computed, not measured: an optimized crystal structure of LaZn2Si at the GGA-PBE level of DFT.

Cell lengths 5.845, 5.845, 5.845 Å; angles 42.75, 42.75, 42.75 degrees
Atoms (fractional coordinates):
La: 0.250 0.250 0.250
Si: 0.750 0.750 0.750
Zn: 0.035 0.035 0.035
Zn: 0.465 0.465 0.465

Results
space group: R-3m, No. 166
total DFT energy (no corrections): -3.5275 eV/atom

---

# 14
Computed, not measured: an optimized crystal structure of LaZnSi2 at the GGA-PBE level of DFT.

Cell lengths 8.863, 8.863, 8.863 Å; angles 21.71, 21.71, 21.71 degrees
Atoms (fractional coordinates):
La: 0.750 0.750 0.750
Si: 0.985 0.985 0.985
Si: 0.515 0.515 0.515
Zn: 0.250 0.250 0.250

Results
space group: R-3m, No. 166
total DFT energy (no corrections): -4.0352 eV/atom

---

# 15
Computed, not measured: an optimized crystal structure of La2ZnSi at the GGA-PBE level of DFT.

Cell lengths 3.478, 3.478, 8.617 Å; angles 90.00, 90.00, 90.00 degrees
Atoms (fractional coordinates):
La: 0.000 0.000 0.935
La: 0.500 0.500 0.318
Si: 0.000 0.000 0.554
Zn: 0.500 0.500 0.693

Results
space group: P4mm, No. 99
total DFT energy (no corrections): -4.2427 eV/atom

---

# 16
Computed, not measured: an optimized crystal structure of LaZnSi2 at the GGA-PBE level of DFT.

Cell lengths 4.484, 4.484, 5.537 Å; angles 71.77, 71.77, 52.75 degrees
Atoms (fractional coordinates):
La: 0.248 0.248 0.254
Si: 0.026 0.026 0.885
Si: 0.752 0.752 0.753
Zn: 0.474 0.474 0.608

Results
space group: Cm, No. 8
total DFT energy (no corrections): -4.5523 eV/atom

---

# 17
Computed, not measured: an optimized crystal structure of LaZnSi2 at the GGA-PBE level of DFT.

Cell lengths 4.888, 4.888, 4.888 Å; angles 60.00, 60.00, 60.00 degrees
Atoms (fractional coordinates):
La: 0.500 0.500 0.500
Si: 0.000 0.000 0.000
Si: 0.250 0.250 0.250
Zn: 0.750 0.750 0.750

Results
space group: F-43m, No. 216
total DFT energy (no corrections): -4.2373 eV/atom

---

# 18
Computed, not measured: an optimized crystal structure of LaZn2Si at the GGA-PBE level of DFT.

Cell lengths 4.306, 4.307, 4.588 Å; angles 90.00, 90.00, 90.00 degrees
Atoms (fractional coordinates):
La: 0.500 0.000 0.500
Si: 0.000 0.500 0.500
Zn: 0.000 0.000 0.000
Zn: 0.500 0.500 0.000

Results
space group: P4/mmm, No. 123
total DFT energy (no corrections): -3.4512 eV/atom

---

# 19
Computed, not measured: an optimized crystal structure of LaZnSi2 at the GGA-PBE level of DFT.

Cell lengths 5.571, 5.571, 5.567 Å; angles 135.50, 135.50, 64.82 degrees
Atoms (fractional coordinates):
La: 0.750 0.250 0.500
Si: 0.000 0.000 0.000
Si: 0.500 0.500 0.000
Zn: 0.250 0.750 0.500

Results
space group: Fmmm, No. 69
total DFT energy (no corrections): -4.3427 eV/atom

---

# 20
Computed, not measured: an optimized crystal structure of La3Zn4Si2 at the GGA-PBE level of DFT.

Cell lengths 4.317, 6.052, 8.701 Å; angles 102.95, 90.00, 110.89 degrees
Atoms (fractional coordinates):
La: 0.671 0.342 0.653
La: 0.000 0.000 0.000
La: 0.329 0.658 0.347
Zn: 0.737 0.473 0.072
Zn: 0.263 0.527 0.928
Zn: 0.964 0.929 0.631
Zn: 0.036 0.071 0.369
Si: 0.610 0.221 0.276
Si: 0.390 0.779 0.724

Results
space group: C2/m, No. 12
total DFT energy (no corrections): -3.9449 eV/atom

---

# 21
Computed, not measured: an optimized crystal structure of LaZn4Si3 at the GGA-PBE level of DFT.

Cell lengths 4.405, 4.405, 7.515 Å; angles 90.00, 90.00, 90.00 degrees
Atoms (fractional coordinates):
Zn: 0.500 0.000 0.176
Zn: 0.000 0.500 0.176
Zn: 0.500 0.000 0.824
Zn: 0.000 0.500 0.824
Si: 0.000 0.000 0.000
Si: 0.500 0.500 0.345
Si: 0.500 0.500 0.655
La: 0.000 0.000 0.500

Results
space group: P4/mmm, No. 123
total DFT energy (no corrections): -3.5291 eV/atom

---

# 22
Computed, not measured: an optimized crystal structure of La2Zn2Si3 at the GGA-PBE level of DFT.

Cell lengths 4.410, 6.941, 9.689 Å; angles 90.00, 103.16, 90.00 degrees
Atoms (fractional coordinates):
La: 0.161 0.250 0.322
La: 0.839 0.750 0.678
La: 0.951 0.250 0.901
La: 0.049 0.750 0.099
Zn: 0.678 0.935 0.356
Zn: 0.322 0.065 0.644
Zn: 0.322 0.435 0.644
Zn: 0.678 0.565 0.356
Si: 0.215 0.750 0.431
Si: 0.785 0.250 0.569
Si: 0.557 0.421 0.114
Si: 0.443 0.579 0.886
Si: 0.443 0.921 0.886
Si: 0.557 0.079 0.114

Results
space group: Cmcm, No. 63
total DFT energy (no corrections): -4.6319 eV/atom

---

# 23
Computed, not measured: an optimized crystal structure of La3ZnSi at the GGA-PBE level of DFT.

Cell lengths 4.259, 7.506, 9.316 Å; angles 90.37, 89.39, 105.73 degrees
Atoms (fractional coordinates):
La: 0.065 0.172 0.376
La: 0.424 0.901 0.604
La: 0.619 0.253 0.818
La: 0.979 0.982 0.046
La: 0.265 0.565 0.035
La: 0.779 0.589 0.386
Zn: 0.229 0.479 0.646
Zn: 0.815 0.675 0.775
Si: 0.417 0.867 0.280
Si: 0.627 0.287 0.142

Results
relative energy among the computed polymorphs: 0.000 eV/atom
space group: P-1, No. 2
total DFT energy (no corrections): -4.6639 eV/atom

---

# 24
Computed, not measured: an optimized crystal structure of LaZnSi2 at the GGA-PBE level of DFT.

Cell lengths 4.261, 10.820, 13.915 Å; angles 90.00, 90.00, 90.00 degrees
Atoms (fractional coordinates):
La: 0.750 0.467 0.696
La: 0.250 0.967 0.804
La: 0.250 0.533 0.304
La: 0.750 0.033 0.196
La: 0.750 0.245 0.948
La: 0.250 0.745 0.552
La: 0.250 0.755 0.052
La: 0.750 0.255 0.448
Zn: 0.750 0.553 0.942
Zn: 0.250 0.053 0.558
Zn: 0.250 0.447 0.058
Zn: 0.750 0.947 0.442
Zn: 0.750 0.330 0.202
Zn: 0.250 0.830 0.298
Zn: 0.250 0.670 0.798
Zn: 0.750 0.170 0.702
Si: 0.750 0.961 0.975
Si: 0.250 0.461 0.525
Si: 0.250 0.039 0.025
Si: 0.750 0.539 0.475
Si: 0.750 0.774 0.887
Si: 0.250 0.274 0.613
Si: 0.250 0.226 0.113
Si: 0.750 0.726 0.387
Si: 0.750 0.761 0.714
Si: 0.250 0.261 0.786
Si: 0.250 0.239 0.286
Si: 0.750 0.739 0.214
Si: 0.750 0.957 0.628
Si: 0.250 0.457 0.872
Si: 0.250 0.043 0.372
Si: 0.750 0.543 0.128

Results
space group: Pnma, No. 62
total DFT energy (no corrections): -4.7608 eV/atom

---

# 25
Computed, not measured: an optimized crystal structure of LaZn2Si at the GGA-PBE level of DFT.

Cell lengths 4.224, 4.224, 5.969 Å; angles 69.25, 69.25, 60.10 degrees
Atoms (fractional coordinates):
La: 0.498 0.498 0.505
Si: 0.711 0.711 0.867
Zn: 0.008 0.008 0.975
Zn: 0.283 0.283 0.153

Results
space group: Cm, No. 8
total DFT energy (no corrections): -3.6005 eV/atom

---

no.,formation energy (no corrections) (eV/f.u.),V (A^3/atom),magnetic moment (μB/cell)
1,-7.0,24.860,0.0
2,2.6,31.567,2.0
3,-3.2,27.214,1.7
4,-1.2,29.310,0.0
5,0.1,38.653,1.2
6,3.5,35.766,0.0
7,3.5,29.977,0.0
8,-0.3,20.323,0.0
9,-0.6,20.835,0.0
10,-0.5,30.336,0.0
11,-8.0,29.882,0.0
12,-0.9,20.461,0.0
13,-1.2,20.841,0.0
14,0.9,20.873,0.0
15,-0.4,26.061,0.0
16,-1.2,20.758,0.0
17,0.1,20.643,0.0
18,-0.9,21.272,0.0
19,-0.3,20.914,0.0
20,-4.8,22.908,0.0
21,-1.9,18.228,0.0
22,-3.8,20.628,0.0
23,-1.8,28.663,0.0
24,-2.0,20.047,0.0
25,-1.5,21.065,0.0